(1)
## PmPrBeSi (GGA-PBE)

Data for crystalline PmPrBeSi at its relaxed geometry.

```
data_PmPrBeSi
_space_group_name_H-M_alt 'F -4 3 m'
_space_group_IT_number 216
_space_group_name_Hall 'F -4 2 3'
_cell_length_a 7.1516
_cell_length_b 7.1516
_cell_length_c 7.1516
_cell_angle_alpha 90.00
_cell_angle_beta 90.00
_cell_angle_gamma 90.00
loop_
_atom_site_label
_atom_site_fract_x
_atom_site_fract_y
_atom_site_fract_z
Pm1 0.0000 0.0000 0.0000
Pr1 0.0000 0.0000 0.5000
Be1 0.2500 0.2500 0.2500
Si1 0.2500 0.2500 0.7500
```

## Properties
For the density of states at the Fermi level, the calculation gives 4.07 states/eV per cell. Its uncorrected formation energy is -161 meV/atom.



(2)
## Zr9TiIn2 (GGA-PBE)

Data for crystalline Zr9TiIn2 at its relaxed geometry.

```
data_Zr9TiIn2
_space_group_name_H-M_alt 'P 4/m m m'
_space_group_IT_number 123
_space_group_name_Hall '-P 4 2'
_cell_length_a 4.4601
_cell_length_b 4.4601
_cell_length_c 13.4352
_cell_angle_alpha 90.00
_cell_angle_beta 90.00
_cell_angle_gamma 90.00
loop_
_atom_site_label
_atom_site_fract_x
_atom_site_fract_y
_atom_site_fract_z
Zr1 0.0000 0.0000 0.0000
Zr2 0.0000 0.0000 0.3348
Zr3 0.0000 0.5000 0.1626
Zr4 0.0000 0.5000 0.5000
Ti1 0.5000 0.5000 0.0000
In1 0.5000 0.5000 0.3322
```

## Properties
For the density of states at the Fermi level, the calculation gives 12.05 states/eV per cell. For the formation energy, the calculation gives -0.141 eV per atom.



(3)
## Dy2Ho2In7 (GGA-PBE)

Data for crystalline Dy2Ho2In7 at its relaxed geometry.

```
data_Dy2Ho2In7
_space_group_name_H-M_alt 'C m m m'
_space_group_IT_number 65
_space_group_name_Hall '-C 2 2'
_cell_length_a 8.5209
_cell_length_b 10.6972
_cell_length_c 7.4481
_cell_angle_alpha 90.00
_cell_angle_beta 90.00
_cell_angle_gamma 90.00
loop_
_atom_site_label
_atom_site_fract_x
_atom_site_fract_y
_atom_site_fract_z
Dy1 0.1849 0.0000 0.0000
Ho1 0.0000 0.2997 0.5000
In1 0.0000 0.0000 0.5000
In2 0.0000 0.5000 0.2009
In3 0.2500 0.2500 0.2041
```

## Properties
For the density of states at the Fermi level, the calculation gives 15.79 states/eV per cell. For the formation energy, the calculation gives 0.029 eV per atom.



(4)
## CeMg7Ag5 (GGA-PBE)

Data for crystalline CeMg7Ag5 at its relaxed geometry.

```
data_CeMg7Ag5
_space_group_name_H-M_alt 'I m m 2'
_space_group_IT_number 44
_space_group_name_Hall 'I 2 -2'
_cell_length_a 5.6463
_cell_length_b 9.9107
_cell_length_c 9.7327
_cell_angle_alpha 90.00
_cell_angle_beta 90.00
_cell_angle_gamma 90.00
loop_
_atom_site_label
_atom_site_fract_x
_atom_site_fract_y
_atom_site_fract_z
Ce1 0.0000 0.0000 0.0000
Mg1 0.0000 0.0000 0.3493
Mg2 0.0000 0.0000 0.6625
Mg3 0.0000 0.2952 0.4991
Mg4 0.0000 0.3451 0.0144
Mg5 0.0000 0.5000 0.7257
Ag1 0.0000 0.5000 0.2878
Ag2 0.2484 0.2554 0.7542
```

## Properties
For the density of states at the Fermi level, the calculation gives 26.98 states/eV per cell. For the formation energy, the calculation gives -0.160 eV per atom.



(5)
## Zn3CdS (GGA-PBE)

Data for crystalline Zn3CdS at its relaxed geometry.

```
data_Zn3CdS
_space_group_name_H-M_alt 'P m -3 m'
_space_group_IT_number 221
_space_group_name_Hall '-P 4 2 3'
_cell_length_a 4.7990
_cell_length_b 4.7990
_cell_length_c 4.7990
_cell_angle_alpha 90.00
_cell_angle_beta 90.00
_cell_angle_gamma 90.00
loop_
_atom_site_label
_atom_site_fract_x
_atom_site_fract_y
_atom_site_fract_z
Zn1 0.0000 0.0000 0.5000
Cd1 0.5000 0.5000 0.5000
S1 0.0000 0.0000 0.0000
```

## Properties
For the density of states at the Fermi level, the calculation gives 2.08 states/eV per cell. Its uncorrected formation energy is 329 meV/atom. The relative energy among the computed polymorphs is 0.00 kcal/mol of atoms.



(6)
## Ca2HgRh (GGA-PBE)

Data for crystalline Ca2HgRh at its relaxed geometry.

```
data_Ca2HgRh
_space_group_name_H-M_alt 'I -4 m 2'
_space_group_IT_number 119
_space_group_name_Hall 'I -4 -2'
_cell_length_a 4.3736
_cell_length_b 4.3736
_cell_length_c 9.5935
_cell_angle_alpha 90.00
_cell_angle_beta 90.00
_cell_angle_gamma 90.00
loop_
_atom_site_label
_atom_site_fract_x
_atom_site_fract_y
_atom_site_fract_z
Ca1 0.0000 0.0000 0.0000
Ca2 0.0000 0.5000 0.2500
Hg1 0.0000 0.5000 0.7500
Rh1 0.0000 0.0000 0.5000
```

## Properties
For the density of states at the Fermi level, the calculation gives 3.94 states/eV per cell. For the formation energy, the calculation gives -0.288 eV per atom.